#P
Computed, not measured: a geometry-optimized GaPRh2 structure at the GGA-PBE level of DFT.

a b c (Å): 6.964 6.104 5.564
angles (deg): 90.00 90.08 90.00
Space group P2_1/c (No. 14)
Asymmetric unit:
Ga 0.115 0.100 0.305 [4 per cell]
P 0.370 0.558 0.194 [4 per cell]
Rh 0.167 0.700 0.493 [4 per cell]
Rh 0.408 0.211 0.010 [4 per cell]

=====

#Q
Computed, not measured: a geometry-optimized GaPRh2 structure at the GGA-PBE level of DFT.

a b c (Å): 3.7653 3.7653 14.7618
angles (deg): 90.00 90.00 120.00
Space group R3m (No. 160, hexagonal axes)
Asymmetric unit:
Ga 0.0000 0.0000 0.0000 [3 per cell]
P 0.0000 0.0000 0.1733 [3 per cell]
Rh 0.0000 0.0000 0.5666 [3 per cell]
Rh 0.0000 0.0000 0.7708 [3 per cell]

=====

#R
Computed, not measured: a geometry-optimized GaPRh2 structure at the GGA-PBE level of DFT.

a b c (Å): 6.044 6.044 6.044
angles (deg): 90.00 90.00 90.00
Space group Fm-3m (No. 225)
Asymmetric unit:
Ga 0.000 0.000 0.000 [4 per cell]
P 0.000 0.000 0.500 [4 per cell]
Rh 0.250 0.250 0.250 [8 per cell]

=====

Energetically preferred structure: #P | next structure: +148 meV per atom

=====

#P
Computed, not measured: a geometry-optimized GaPRh3 structure at the GGA-PBE level of DFT.

a b c (Å): 4.525 4.525 4.525
angles (deg): 90.00 90.00 90.00
Space group Pm-3m (No. 221)
Asymmetric unit:
Ga 0.000 0.000 0.000 [1 per cell]
P 0.500 0.500 0.500 [1 per cell]
Rh 0.000 0.000 0.500 [3 per cell]

=====

#Q
Computed, not measured: a geometry-optimized GaPRh3 structure at the GGA-PBE level of DFT.

a b c (Å): 4.364 4.364 4.364
angles (deg): 90.00 90.00 90.00
Space group Pm-3m (No. 221)
Asymmetric unit:
Ga 0.000 0.000 0.000 [1 per cell]
P 0.500 0.500 0.500 [1 per cell]
Rh 0.000 0.500 0.500 [3 per cell]

=====

Energetically preferred structure: #Q | next structure: +1018 meV per atom

=====

#P
Computed, not measured: a geometry-optimized Ga3PRh structure at the GGA-PBE level of DFT.

a b c (Å): 4.744 4.744 4.744
angles (deg): 90.00 90.00 90.00
Space group Pm-3m (No. 221)
Asymmetric unit:
Ga 0.000 0.000 0.500 [3 per cell]
P 0.500 0.500 0.500 [1 per cell]
Rh 0.000 0.000 0.000 [1 per cell]

=====

#Q
Computed, not measured: a geometry-optimized Ga3PRh structure at the GGA-PBE level of DFT.

a b c (Å): 4.645 4.645 4.645
angles (deg): 90.00 90.00 90.00
Space group Pm-3m (No. 221)
Asymmetric unit:
Ga 0.000 0.000 0.500 [3 per cell]
P 0.000 0.000 0.000 [1 per cell]
Rh 0.500 0.500 0.500 [1 per cell]

=====

Energetically preferred structure: #P | next structure: +457 meV per atom